# TmBiPt

An optimized crystal structure of TmBiPt (PBE, the Open Quantum Materials Database).

Geometry as POSCAR:
```
TmBiPt
1.0
7.634 0.000 0.000
-3.817 6.611 0.000
0.000 0.000 4.132
Bi Pt Tm
3 3 3
Direct
0.269 0.000 0.000
0.000 0.269 0.000
0.731 0.731 0.000
0.667 0.333 0.000
0.333 0.667 0.000
0.000 0.000 0.500
0.604 0.000 0.500
0.396 0.396 0.500
0.000 0.604 0.500
```

***

# TmBiPt

An optimized crystal structure of TmBiPt (PBE, the Open Quantum Materials Database).

Geometry as POSCAR:
```
TmBiPt
1.0
-4.562 6.766 -0.207
-3.351 -7.237 -1.739
-0.826 -0.451 3.466
Bi Pt Tm
3 3 3
Direct
0.667 0.333 0.000
0.333 0.667 0.000
0.000 0.000 0.500
0.650 0.000 0.500
0.350 0.350 0.500
0.000 0.650 0.500
0.293 0.000 0.000
0.000 0.293 0.000
0.707 0.707 0.000
```

***

| no. | M_tot (μB per formula unit) | E (eV per atom) |
| --- | --- | --- |
| 1 | 0.0 | -5.693 |
| 2 | 0.0 | -5.269 |